# 1
VASP calculation (PBE-GGA) on crystalline YLuSb at its relaxed geometry.

Geometry as CIF:
```
data_YLuSb
_symmetry_space_group_name_H-M 'P 1'
_symmetry_Int_Tables_number 1
_cell_length_a 3.920
_cell_length_b 3.920
_cell_length_c 6.040
_cell_angle_alpha 108.94
_cell_angle_beta 108.94
_cell_angle_gamma 90.00
loop_
_symmetry_equiv_pos_as_xyz
'x,y,z'
loop_
_atom_site_label
_atom_site_type_symbol
_atom_site_fract_x
_atom_site_fract_y
_atom_site_fract_z
_atom_site_occupancy
Y1 Y 0.939 0.939 0.878 1
Sb1 Sb 0.280 0.280 0.560 1
Lu1 Lu 0.631 0.631 0.262 1
```


# 2
VASP calculation (PBE-GGA) on crystalline YLuSb at its relaxed geometry.

Geometry as CIF:
```
data_YLuSb
_symmetry_space_group_name_H-M 'P 1'
_symmetry_Int_Tables_number 1
_cell_length_a 3.965
_cell_length_b 5.005
_cell_length_c 5.005
_cell_angle_alpha 120.00
_cell_angle_beta 90.00
_cell_angle_gamma 90.00
loop_
_symmetry_equiv_pos_as_xyz
'x,y,z'
loop_
_atom_site_label
_atom_site_type_symbol
_atom_site_fract_x
_atom_site_fract_y
_atom_site_fract_z
_atom_site_occupancy
Y1 Y 0.619 0.667 0.333 1
Sb1 Sb 0.288 0.333 0.667 1
Lu1 Lu 0.092 0.000 0.000 1
```


Calculated values (eV/atom) of ΔE_f (raw) for the records, taken in order: -0.615 -0.418.